1.
Material: Nb2AlSi
Method: DFT, GGA-PBE
State: optimized geometry

Properties
**Crystal system**: cubic
**SG**: Fm-3m, No. 225
**Energy relative to the elements, uncorrected**: -0.08 eV/atom
**ΔE to the lowest computed polymorph**: 0.001 eV/atom

Lattice parameters (Å, degrees): 4.5126 4.5126 4.5126 60.00 60.00 60.00
Fractional positions:
Al 0.0000 0.0000 0.0000
Si 0.5000 0.5000 0.5000
Nb 0.2500 0.2500 0.2500
Nb 0.7500 0.7500 0.7500

2.
Material: Nb5NiRu6
Method: DFT, GGA-PBE
State: optimized geometry

Properties
**Crystal system**: orthorhombic
**Formation energy from the elements**: -199.3 meV/atom
**SG**: Immm, No. 71

Lattice parameters (Å, degrees): 4.3051 7.5833 7.5833 115.95 106.48 106.48
Fractional positions:
Nb 0.5000 0.1427 0.8573
Nb 0.0000 0.6787 0.3213
Nb 0.0000 0.3213 0.6787
Nb 0.5000 0.5000 0.5000
Nb 0.5000 0.8573 0.1427
Ru 0.7726 0.2724 0.2724
Ru 0.2622 0.4295 0.0950
Ru 0.7378 0.9050 0.5705
Ru 0.7378 0.5705 0.9050
Ru 0.2274 0.7276 0.7276
Ru 0.2622 0.0950 0.4295
Ni 0.0000 0.0000 0.0000

3.
Material: CaPm2Sm3Se6
Method: DFT, GGA-PBE
State: optimized geometry

Properties
**Crystal system**: monoclinic
**SG**: C2/m, No. 12
**Energy relative to the elements, uncorrected**: -1.85 eV/atom

Lattice parameters (Å, degrees): 4.1658 8.4104 9.3528 102.96 102.87 90.00
Fractional positions:
Pm 0.8298 0.6603 0.6596
Pm 0.1702 0.3397 0.3404
Ca 0.5000 0.0000 0.0000
Se 0.0001 0.2470 0.0002
Se 0.6641 0.5839 0.3283
Se 0.6643 0.0799 0.3287
Se 0.3359 0.4161 0.6717
Se 0.3357 0.9201 0.6713
Se 0.9999 0.7530 0.9998
Sm 0.5000 0.5000 0.0000
Sm 0.1688 0.8295 0.3376
Sm 0.8312 0.1705 0.6624

4.
Material: CeEr2Si4
Method: DFT, GGA-PBE
State: optimized geometry

Properties
**Crystal system**: orthorhombic
**SG**: Immm, No. 71
**Energy relative to the elements, uncorrected**: -0.76 eV/atom

Lattice parameters (Å, degrees): 3.8874 4.2374 9.1659 103.36 102.24 90.00
Each line ends with the local moment (μB).
Fractional positions:
Si 0.9335 0.4335 0.8669  0.00
Si 0.0665 0.5665 0.1331  0.00
Si 0.6496 0.6496 0.2992  0.00
Si 0.3504 0.3504 0.7008  0.00
Ce 0.5000 0.0000 0.0000  0.32
Er 0.1833 0.1833 0.3666  -0.01
Er 0.8167 0.8167 0.6334  -0.01

| no. | Fermi-level density of states (states/eV/f.u.) |
| --- | --- |
| 1 | 4.84 |
| 2 | 8.46 |
| 3 | 5.16 |
| 4 | 4.70 |